Entry from the Alexandria database: an optimized crystal structure of Mn3HO6 (GGA-PBEsol).

Results
N(E_F) in states/eV per atom: 0.420
Electronic total energy in eV/atom: -7.954
Space group: Cm (8)
Volume in Å³/f.u.: 86.4

a = 2.816 Å, b = 4.431 Å, c = 7.072 Å
α = 91.56°, β = 101.48°, γ = 90.00°
Last column: magnetic moment on the atom in μB.
Atoms (fractional coordinates):
Mn 0.998 0.995 0.996  2.46
Mn 0.344 0.481 0.688  2.49
Mn 0.654 0.509 0.308  2.40
H 0.229 0.955 0.458  0.01
O 0.558 0.788 0.115  0.11
O 0.441 0.209 0.881  0.10
O 0.107 0.276 0.213  0.04
O 0.894 0.711 0.787  0.07
O 0.225 0.730 0.449  0.00
O 0.772 0.283 0.544  0.03

Entry from the Alexandria database: an optimized crystal structure of Y2Be3 (GGA-PBEsol).

Results
N(E_F) in states/eV per atom: 1.003
Electronic total energy in eV/atom: -5.178
Space group: P-3m1 (164)
Volume in Å³/f.u.: 88.6

a = 3.644 Å, b = 3.644 Å, c = 7.705 Å
α = 90.00°, β = 90.00°, γ = 120.00°
Last column: magnetic moment on the atom in μB.
Atoms (fractional coordinates):
Y 0.333 0.667 0.694  0.15
Y 0.667 0.333 0.306  0.15
Be 0.000 0.000 0.000  0.00
Be 0.333 0.667 0.052  0.01
Be 0.667 0.333 0.948  0.01

Entry from the Alexandria database: an optimized crystal structure of BaTi3W (GGA-PBEsol).

Results
N(E_F) in states/eV per atom: 1.684
Electronic total energy in eV/atom: -5.831
Space group: Pm-3m (221)
Volume in Å³/f.u.: 109.1

a = 4.778 Å, b = 4.778 Å, c = 4.778 Å
α = 90.00°, β = 90.00°, γ = 90.00°
Atoms (fractional coordinates):
Ba 0.000 0.000 0.000
W 0.500 0.500 0.500
Ti 0.000 0.500 0.000
Ti 0.000 0.000 0.500
Ti 0.500 0.000 0.000

Entry from the Alexandria database: an optimized crystal structure of Ag2HgPt (GGA-PBEsol).

Results
N(E_F) in states/eV per atom: 0.284
Electronic total energy in eV/atom: -3.534
Space group: Cm (8)
Volume in Å³/f.u.: 67.6

a = 2.911 Å, b = 4.941 Å, c = 4.997 Å
α = 99.64°, β = 90.00°, γ = 107.13°
Atoms (fractional coordinates):
Pt 0.749 0.497 0.252
Hg 0.497 0.993 0.491
Ag 0.003 0.006 0.997
Ag 0.252 0.503 0.760

Entry from the Alexandria database: an optimized crystal structure of GaAs2PdSe (GGA-PBEsol).

Results
N(E_F) in states/eV per atom: 1.210
Uncorrected formation energy in eV per formula unit: 2.41
Space group: P4/mmm (123)
ΔE to the lowest computed polymorph in eV/atom: 0.000
Volume in Å³/f.u.: 116.8

a = 4.755 Å, b = 4.755 Å, c = 5.163 Å
α = 90.00°, β = 90.00°, γ = 90.00°
Atoms (fractional coordinates):
As 0.000 0.500 0.000
As 0.500 0.000 0.000
Ga 0.500 0.500 0.500
Se 0.000 0.000 0.500
Pd 0.000 0.000 0.000

Entry from the Alexandria database: an optimized crystal structure of Hf2ZrSb2 (GGA-PBEsol).

Results
N(E_F) in states/eV per atom: 0.446
Uncorrected formation energy in eV per formula unit: -2.79
Space group: P4/mbm (127)
Volume in Å³/f.u.: 108.3

a = 3.693 Å, b = 7.657 Å, c = 7.657 Å
α = 90.00°, β = 90.00°, γ = 90.00°
Atoms (fractional coordinates):
Sb 0.000 0.354 0.854
Sb 0.000 0.854 0.646
Sb 0.000 0.646 0.146
Sb 0.000 0.146 0.354
Hf 0.500 0.151 0.651
Hf 0.500 0.651 0.849
Hf 0.500 0.849 0.349
Hf 0.500 0.349 0.151
Zr 0.000 0.000 0.000
Zr 0.000 0.500 0.500

Entry from the Alexandria database: an optimized crystal structure of BPtCl3 (GGA-PBEsol).

Results
N(E_F) in states/eV per atom: 0.220
Uncorrected formation energy in eV per formula unit: 3.75
Space group: Pm-3m (221)
Volume in Å³/f.u.: 109.0

a = 4.777 Å, b = 4.777 Å, c = 4.777 Å
α = 90.00°, β = 90.00°, γ = 90.00°
Atoms (fractional coordinates):
B 0.500 0.500 0.500
Pt 0.000 0.000 0.000
Cl 0.000 0.500 0.000
Cl 0.000 0.000 0.500
Cl 0.500 0.000 0.000

Entry from the Alexandria database: an optimized crystal structure of Ba2SrBi2 (GGA-PBEsol).

Results
N(E_F) in states/eV per atom: 0.152
Electronic total energy in eV/atom: -3.809
Space group: P4/mbm (127)
Volume in Å³/f.u.: 204.0

a = 4.650 Å, b = 9.368 Å, c = 9.368 Å
α = 90.00°, β = 90.00°, γ = 90.00°
Atoms (fractional coordinates):
Sr 0.000 0.000 0.000
Sr 0.000 0.500 0.500
Bi 0.000 0.330 0.830
Bi 0.000 0.830 0.670
Bi 0.000 0.670 0.170
Bi 0.000 0.170 0.330
Ba 0.500 0.133 0.633
Ba 0.500 0.633 0.867
Ba 0.500 0.867 0.367
Ba 0.500 0.367 0.133

Entry from the Alexandria database: an optimized crystal structure of LiLaAg2 (GGA-PBEsol).

Results
N(E_F) in states/eV per atom: 0.649
Electronic total energy in eV/atom: -3.690
Space group: R-3m (166)
Volume in Å³/f.u.: 89.3

a = 4.583 Å, b = 4.583 Å, c = 5.579 Å
α = 65.75°, β = 65.75°, γ = 60.00°
Atoms (fractional coordinates):
La 0.000 0.000 0.000
Ag 0.790 0.790 0.631
Ag 0.210 0.210 0.369
Li 0.500 0.500 0.500

Entry from the Alexandria database: an optimized crystal structure of AsRu2Se (GGA-PBEsol).

Results
N(E_F) in states/eV per atom: 1.187
Uncorrected formation energy in eV per formula unit: 2.55
Space group: F-43m (216)
ΔE to the lowest computed polymorph in eV/atom: 0.184
Volume in Å³/f.u.: 60.5

a = 4.406 Å, b = 4.406 Å, c = 4.406 Å
α = 60.00°, β = 60.00°, γ = 60.00°
Atoms (fractional coordinates):
Ru 0.000 0.000 0.000
Ru 0.750 0.750 0.750
As 0.500 0.500 0.500
Se 0.250 0.250 0.250

Entry from the Alexandria database: an optimized crystal structure of ScAl2Os (GGA-PBEsol).

Results
N(E_F) in states/eV per atom: 0.516
Electronic total energy in eV/atom: -7.135
Space group: P4/mmm (123)
Volume in Å³/f.u.: 62.3

a = 3.865 Å, b = 3.865 Å, c = 4.169 Å
α = 90.00°, β = 90.00°, γ = 90.00°
Atoms (fractional coordinates):
Sc 0.000 0.000 0.500
Os 0.500 0.500 0.500
Al 0.000 0.500 0.000
Al 0.500 0.000 0.000

Entry from the Alexandria database: an optimized crystal structure of SrLiY2C (GGA-PBEsol).

Results
N(E_F) in states/eV per atom: 1.111
Electronic total energy in eV/atom: -4.388
Space group: P4/mmm (123)
Volume in Å³/f.u.: 113.5

a = 3.866 Å, b = 5.417 Å, c = 5.417 Å
α = 90.00°, β = 90.00°, γ = 90.00°
Atoms (fractional coordinates):
Y 0.000 0.000 0.500
Y 0.000 0.500 0.000
Sr 0.500 0.500 0.500
C 0.500 0.000 0.000
Li 0.000 0.000 0.000